This record from Alexandria via LeMat-Bulk describes crystalline Mg2Zn2CdPd5 at its relaxed geometry. The functional is PBE-GGA.

Cell and atoms, written as extended XYZ:
```
20
Lattice="9.414 0.000 0.000 0.000 9.414 0.000 0.000 0.000 3.798" Properties=species:S:1:pos:R:3 pbc="T T T"
Mg 1.619 3.088 0.000
Mg 3.088 7.795 0.000
Mg 6.326 1.619 0.000
Mg 7.795 6.326 0.000
Zn 1.182 5.889 0.000
Zn 3.525 1.182 0.000
Zn 5.889 8.232 0.000
Zn 8.232 3.525 0.000
Cd 0.000 0.000 0.000
Cd 4.707 4.707 0.000
Pd 0.000 4.707 1.899
Pd 0.746 7.516 1.899
Pd 1.898 0.746 1.899
Pd 2.809 5.453 1.899
Pd 3.961 2.809 1.899
Pd 4.707 0.000 1.899
Pd 5.453 6.605 1.899
Pd 6.605 3.961 1.899
Pd 7.516 8.668 1.899
Pd 8.668 1.898 1.899
```

Output
DOS(E_F): 0.2993 states/eV/atom
DFT total energy: -74.880 eV/cell